a) A geometry-optimized TeIrIN2 structure. Source: the Alexandria database, functional PBE. Values from VASP.

Cell and atoms, written as Quantum ESPRESSO input:
```
&SYSTEM
  ibrav = 0, nat = 5, ntyp = 4
/
ATOMIC_SPECIES
Te 127.60 Te.upf
I 126.90 I.upf
N 14.01 N.upf
Ir 192.22 Ir.upf
ATOMIC_POSITIONS crystal
Te 0.000 0.000 0.500
I 0.500 0.500 0.500
N 0.000 0.500 0.000
N 0.500 0.000 0.000
Ir 0.000 0.000 0.000
CELL_PARAMETERS angstrom
-2.677 1.566 -2.535
2.400 -0.886 -3.082
-2.612 -5.296 -0.512
```

Size of the total moment = 0.154 μB/cell


b) A geometry-optimized TeIrIN2 structure. Source: the Alexandria database, functional PBE. Values from VASP.

Cell and atoms, written as Quantum ESPRESSO input:
```
&SYSTEM
  ibrav = 0, nat = 5, ntyp = 4
/
ATOMIC_SPECIES
Ir 192.22 Ir.upf
N 14.01 N.upf
Te 127.60 Te.upf
I 126.90 I.upf
ATOMIC_POSITIONS crystal
Ir 0.500 0.500 0.500
N 0.000 0.500 0.000
Te 0.000 0.000 0.500
I 0.000 0.000 0.000
N 0.500 0.000 0.000
CELL_PARAMETERS angstrom
3.874 0.000 0.000
0.000 3.874 0.000
0.000 0.000 8.257
```

Size of the total moment = 0.000 μB/cell


c) A geometry-optimized TeIrIN2 structure. Source: the Alexandria database, functional PBE. Values from VASP.

Cell and atoms, written as Quantum ESPRESSO input:
```
&SYSTEM
  ibrav = 0, nat = 5, ntyp = 4
/
ATOMIC_SPECIES
Te 127.60 Te.upf
Ir 192.22 Ir.upf
I 126.90 I.upf
N 14.01 N.upf
ATOMIC_POSITIONS crystal
Te 0.500 0.500 0.500
Ir 0.000 0.000 0.000
I 0.000 0.000 0.500
N 0.500 0.000 0.000
N 0.000 0.500 0.000
CELL_PARAMETERS angstrom
-2.969 -2.418 0.959
0.625 -2.076 -3.299
5.212 -4.807 4.013
```

Size of the total moment = 0.399 μB/cell


What is the stability order? It is a), c), b), from most stable to least stable.


a) A geometry-optimized TeIrI2N structure. Source: the Alexandria database, functional PBE. Values from VASP.

Cell and atoms, written as Quantum ESPRESSO input:
```
&SYSTEM
  ibrav = 0, nat = 5, ntyp = 4
/
ATOMIC_SPECIES
N 14.01 N.upf
Te 127.60 Te.upf
I 126.90 I.upf
Ir 192.22 Ir.upf
ATOMIC_POSITIONS crystal
N 0.000 0.000 0.500
Te 0.000 0.000 0.000
I 0.000 0.500 0.000
I 0.500 0.000 0.000
Ir 0.500 0.500 0.500
CELL_PARAMETERS angstrom
-2.382 -5.256 -1.838
5.306 -1.537 -2.483
1.090 -1.669 3.362
```

Size of the total moment = 2.058 μB/cell


b) A geometry-optimized TeIrI2N structure. Source: the Alexandria database, functional PBE. Values from VASP.

Cell and atoms, written as Quantum ESPRESSO input:
```
&SYSTEM
  ibrav = 0, nat = 5, ntyp = 4
/
ATOMIC_SPECIES
Te 127.60 Te.upf
I 126.90 I.upf
Ir 192.22 Ir.upf
N 14.01 N.upf
ATOMIC_POSITIONS crystal
Te 0.000 0.000 0.500
I 0.500 0.000 0.000
Ir 0.500 0.500 0.500
I 0.000 0.500 0.000
N 0.000 0.000 0.000
CELL_PARAMETERS angstrom
4.714 0.000 0.000
0.000 4.714 0.000
0.000 0.000 4.928
```

Size of the total moment = 0.739 μB/cell


What is the stability order? It is b), a), from most stable to least stable.


a) A geometry-optimized TeIrI2N structure. Source: the Alexandria database, functional PBE. Values from VASP.

Cell and atoms, written as Quantum ESPRESSO input:
```
&SYSTEM
  ibrav = 0, nat = 5, ntyp = 4
/
ATOMIC_SPECIES
N 14.01 N.upf
Te 127.60 Te.upf
Ir 192.22 Ir.upf
I 126.90 I.upf
ATOMIC_POSITIONS crystal
N 0.500 0.500 0.500
Te 0.000 0.000 0.500
Ir 0.000 0.000 0.000
I 0.500 0.000 0.000
I 0.000 0.500 0.000
CELL_PARAMETERS angstrom
-2.823 4.366 1.747
1.557 -1.055 5.153
4.078 2.893 -0.640
```

Size of the total moment = 0.000 μB/cell


b) A geometry-optimized TeIrI2N structure. Source: the Alexandria database, functional PBE. Values from VASP.

Cell and atoms, written as Quantum ESPRESSO input:
```
&SYSTEM
  ibrav = 0, nat = 5, ntyp = 4
/
ATOMIC_SPECIES
I 126.90 I.upf
Te 127.60 Te.upf
N 14.01 N.upf
Ir 192.22 Ir.upf
ATOMIC_POSITIONS crystal
I 0.500 0.000 0.000
Te 0.500 0.500 0.500
N 0.000 0.000 0.500
I 0.000 0.500 0.000
Ir 0.000 0.000 0.000
CELL_PARAMETERS angstrom
5.769 0.000 0.000
0.000 5.769 0.000
0.000 0.000 3.716
```

Size of the total moment = 0.000 μB/cell


What is the stability order? It is b), a), from most stable to least stable.


a) A geometry-optimized YIrIN2 structure. Source: the Alexandria database, functional PBE. Values from VASP.

Cell and atoms, written as Quantum ESPRESSO input:
```
&SYSTEM
  ibrav = 0, nat = 5, ntyp = 4
/
ATOMIC_SPECIES
Ir 192.22 Ir.upf
Y 88.91 Y.upf
N 14.01 N.upf
I 126.90 I.upf
ATOMIC_POSITIONS crystal
Ir 0.000 0.000 0.000
Y 0.500 0.500 0.500
N 0.000 0.500 0.000
I 0.000 0.000 0.500
N 0.500 0.000 0.000
CELL_PARAMETERS angstrom
4.064 0.000 0.000
0.000 4.064 0.000
0.000 0.000 5.433
```

Size of the total moment = 0.000 μB/cell


b) A geometry-optimized YIrIN2 structure. Source: the Alexandria database, functional PBE. Values from VASP.

Cell and atoms, written as Quantum ESPRESSO input:
```
&SYSTEM
  ibrav = 0, nat = 5, ntyp = 4
/
ATOMIC_SPECIES
N 14.01 N.upf
Ir 192.22 Ir.upf
I 126.90 I.upf
Y 88.91 Y.upf
ATOMIC_POSITIONS crystal
N 0.500 0.000 0.000
N 0.000 0.500 0.000
Ir 0.500 0.500 0.500
I 0.000 0.000 0.500
Y 0.000 0.000 0.000
CELL_PARAMETERS angstrom
-1.335 -1.154 -3.948
3.979 -1.412 -0.933
-1.512 -5.697 2.177
```

Size of the total moment = 4.563 μB/cell


What is the stability order? It is a), b), from most stable to least stable.


a) A geometry-optimized ZnIrIN2 structure. Source: the Alexandria database, functional PBE. Values from VASP.

Cell and atoms, written as Quantum ESPRESSO input:
```
&SYSTEM
  ibrav = 0, nat = 5, ntyp = 4
/
ATOMIC_SPECIES
N 14.01 N.upf
Zn 65.41 Zn.upf
I 126.90 I.upf
Ir 192.22 Ir.upf
ATOMIC_POSITIONS crystal
N 0.000 0.500 0.000
Zn 0.500 0.500 0.500
I 0.000 0.000 0.500
Ir 0.000 0.000 0.000
N 0.500 0.000 0.000
CELL_PARAMETERS angstrom
3.800 0.000 0.000
0.000 3.800 0.000
0.000 0.000 8.280
```

Size of the total moment = 0.238 μB/cell


b) A geometry-optimized ZnIrIN2 structure. Source: the Alexandria database, functional PBE. Values from VASP.

Cell and atoms, written as Quantum ESPRESSO input:
```
&SYSTEM
  ibrav = 0, nat = 5, ntyp = 4
/
ATOMIC_SPECIES
N 14.01 N.upf
Zn 65.41 Zn.upf
Ir 192.22 Ir.upf
I 126.90 I.upf
ATOMIC_POSITIONS crystal
N 0.500 0.000 0.000
Zn 0.000 0.000 0.000
Ir 0.500 0.500 0.500
I 0.000 0.000 0.500
N 0.000 0.500 0.000
CELL_PARAMETERS angstrom
-2.805 2.360 -1.210
-2.561 -2.868 0.345
-1.136 1.741 6.034
```

Size of the total moment = 4.065 μB/cell


What is the stability order? It is a), b), from most stable to least stable.


a) A geometry-optimized Na3IrI structure. Source: the Alexandria database, functional PBE. Values from VASP.

Cell and atoms, written as Quantum ESPRESSO input:
```
&SYSTEM
  ibrav = 0, nat = 5, ntyp = 3
/
ATOMIC_SPECIES
Na 22.99 Na.upf
Ir 192.22 Ir.upf
I 126.90 I.upf
ATOMIC_POSITIONS crystal
Na 0.000 0.000 0.500
Na 0.500 0.000 0.000
Ir 0.000 0.000 0.000
I 0.500 0.500 0.500
Na 0.000 0.500 0.000
CELL_PARAMETERS angstrom
-1.995 -5.062 -1.332
4.387 -0.840 -3.380
2.854 -2.247 4.264
```

Size of the total moment = 1.000 μB/cell


b) A geometry-optimized Na3IrI structure. Source: the Alexandria database, functional PBE. Values from VASP.

Cell and atoms, written as Quantum ESPRESSO input:
```
&SYSTEM
  ibrav = 0, nat = 5, ntyp = 3
/
ATOMIC_SPECIES
Ir 192.22 Ir.upf
Na 22.99 Na.upf
I 126.90 I.upf
ATOMIC_POSITIONS crystal
Ir 0.500 0.500 0.500
Na 0.000 0.000 0.500
Na 0.000 0.500 0.000
I 0.000 0.000 0.000
Na 0.500 0.000 0.000
CELL_PARAMETERS angstrom
-0.079 -2.841 -4.925
5.574 0.935 -0.629
1.124 -4.837 2.772
```

Size of the total moment = 1.021 μB/cell


What is the stability order? It is a), b), from most stable to least stable.


a) A geometry-optimized NbIr2I structure. Source: the Alexandria database, functional PBE. Values from VASP.

Cell and atoms, written as Quantum ESPRESSO input:
```
&SYSTEM
  ibrav = 0, nat = 8, ntyp = 3
/
ATOMIC_SPECIES
Nb 92.91 Nb.upf
Ir 192.22 Ir.upf
I 126.90 I.upf
ATOMIC_POSITIONS crystal
Nb 0.250 0.750 0.500
Ir 0.607 0.125 0.250
I 0.000 0.000 0.000
Nb 0.500 0.500 0.000
I 0.750 0.250 0.500
Ir 0.875 0.857 0.750
Ir 0.143 0.625 0.250
Ir 0.375 0.393 0.750
CELL_PARAMETERS angstrom
6.261 0.000 0.000
0.000 6.261 0.000
3.130 3.130 5.173
```

Size of the total moment = 0.000 μB/cell


b) A geometry-optimized NbIr2I structure. Source: the Alexandria database, functional PBE. Values from VASP.

Cell and atoms, written as Quantum ESPRESSO input:
```
&SYSTEM
  ibrav = 0, nat = 4, ntyp = 3
/
ATOMIC_SPECIES
Ir 192.22 Ir.upf
Nb 92.91 Nb.upf
I 126.90 I.upf
ATOMIC_POSITIONS crystal
Ir 0.750 0.750 0.750
Nb 0.000 0.000 0.000
Ir 0.250 0.250 0.250
I 0.500 0.500 0.500
CELL_PARAMETERS angstrom
0.000 3.316 3.316
3.316 0.000 3.316
3.316 3.316 0.000
```

Size of the total moment = 0.000 μB/cell


What is the stability order? It is a), b), from most stable to least stable.


a) A geometry-optimized NbIr3I structure. Source: the Alexandria database, functional PBE. Values from VASP.

Cell and atoms, written as Quantum ESPRESSO input:
```
&SYSTEM
  ibrav = 0, nat = 5, ntyp = 3
/
ATOMIC_SPECIES
I 126.90 I.upf
Nb 92.91 Nb.upf
Ir 192.22 Ir.upf
ATOMIC_POSITIONS crystal
I 0.500 0.500 0.500
Nb 0.000 0.000 0.000
Ir 0.000 0.500 0.000
Ir 0.500 0.000 0.000
Ir 0.000 0.000 0.500
CELL_PARAMETERS angstrom
-4.780 -0.401 0.730
0.321 -4.812 -0.539
0.768 -0.482 4.767
```

Size of the total moment = 0.000 μB/cell


b) A geometry-optimized NbIr3I structure. Source: the Alexandria database, functional PBE. Values from VASP.

Cell and atoms, written as Quantum ESPRESSO input:
```
&SYSTEM
  ibrav = 0, nat = 5, ntyp = 3
/
ATOMIC_SPECIES
Ir 192.22 Ir.upf
I 126.90 I.upf
Nb 92.91 Nb.upf
ATOMIC_POSITIONS crystal
Ir 0.000 0.000 0.500
Ir 0.500 0.000 0.000
I 0.000 0.000 0.000
Ir 0.000 0.500 0.000
Nb 0.500 0.500 0.500
CELL_PARAMETERS angstrom
4.796 0.000 0.000
0.000 4.796 0.000
0.000 0.000 4.796
```

Size of the total moment = 0.000 μB/cell


What is the stability order? It is a), b), from most stable to least stable.